No. 1
This record from Alexandria describes a relaxed structure of USi2Ni. The functional is PBE.

DFT total energy: -7.09 eV per atom
Density of states at the Fermi level: 4.81 states/eV/cell
Formation energy from raw total energies: -44 kJ/mol of formula units

abc: 2.791 2.791 8.915
angles: 81.00 81.00 60.00
Atoms (fractional coordinates):
U: 0.500 0.500 0.500
Ni: 0.000 0.000 0.000
Si: 0.736 0.736 0.791
Si: 0.264 0.264 0.209

---

No. 2
This record from Alexandria describes a relaxed structure of Ba2Sc2Hg. The functional is PBE.

DFT total energy: -3.24 eV per atom
Density of states at the Fermi level: 18.21 states/eV/cell
Energy of formation: 60 kJ/mol of formula units

abc: 7.663 7.663 5.954
angles: 90.00 90.00 90.00
Atoms (fractional coordinates):
Sc: 0.647 0.147 0.000
Sc: 0.353 0.853 0.000
Sc: 0.147 0.353 0.000
Sc: 0.853 0.647 0.000
Ba: 0.177 0.677 0.500
Ba: 0.323 0.177 0.500
Ba: 0.823 0.323 0.500
Ba: 0.677 0.823 0.500
Hg: 0.500 0.500 0.000
Hg: 0.000 0.000 0.000

---

No. 3
This record from Alexandria describes a relaxed structure of YMg4. The functional is PBE.

DFT total energy: -2.51 eV per atom
Density of states at the Fermi level: 3.50 states/eV/cell
Energy of formation: 29 kJ/mol of formula units

abc: 7.535 7.535 7.535
angles: 146.58 146.58 47.99
Atoms (fractional coordinates):
Mg: 0.601 0.601 0.000
Mg: 0.250 0.750 0.500
Mg: 0.399 0.399 0.000
Mg: 0.750 0.250 0.500
Y: 0.000 0.000 0.000

---

No. 4
This record from Alexandria describes a relaxed structure of Zr2InBr. The functional is PBE.

DFT total energy: -5.70 eV per atom
Density of states at the Fermi level: 2.37 states/eV/cell
Formation energy from raw total energies: -123 kJ/mol of formula units

abc: 3.329 3.329 9.311
angles: 90.00 90.00 89.98
Atoms (fractional coordinates):
Br: 0.000 0.000 0.436
Zr: 0.500 0.500 0.251
Zr: 0.000 0.000 0.011
In: 0.500 0.500 0.802

---

No. 5
This record from Alexandria describes a relaxed structure of Er6CoRu5. The functional is PBE.

DFT total energy: -7.10 eV per atom
Density of states at the Fermi level: 12.89 states/eV/cell
Energy of formation: -413 kJ/mol of formula units

abc: 4.763 6.723 8.216
angles: 114.15 106.85 90.00
Atoms (fractional coordinates):
Er: 0.166 0.416 0.333
Er: 0.834 0.083 0.667
Er: 0.166 0.917 0.333
Er: 0.500 0.751 0.000
Er: 0.834 0.584 0.667
Er: 0.500 0.249 0.000
Ru: 0.000 0.500 0.000
Ru: 0.334 0.834 0.668
Ru: 0.334 0.334 0.668
Ru: 0.666 0.166 0.332
Ru: 0.666 0.666 0.332
Co: 0.000 0.000 0.000

---

No. 6
This record from Alexandria describes a relaxed structure of Mo2HRu. The functional is PBE.

DFT total energy: -8.26 eV per atom
Density of states at the Fermi level: 1.57 states/eV/cell

abc: 2.803 2.803 6.265
angles: 90.00 90.00 90.00
Atoms (fractional coordinates):
Mo: 0.000 0.000 0.797
Mo: 0.000 0.000 0.203
H: 0.500 0.500 0.000
Ru: 0.500 0.500 0.500

---

No. 7
This record from Alexandria describes a relaxed structure of Hg2Ir2PdS6. The functional is PBE.

DFT total energy: -4.60 eV per atom
Density of states at the Fermi level: 4.11 states/eV/cell
Formation energy from raw total energies: -222 kJ/mol of formula units

abc: 6.201 6.201 7.477
angles: 100.02 100.02 119.66
Atoms (fractional coordinates):
S: 0.738 0.738 0.672
S: 0.928 0.581 0.323
S: 0.419 0.072 0.677
S: 0.262 0.262 0.328
S: 0.581 0.928 0.323
S: 0.072 0.419 0.677
Ir: 0.332 0.668 0.500
Ir: 0.668 0.332 0.500
Hg: 0.822 0.178 0.000
Hg: 0.178 0.822 0.000
Pd: 0.000 0.000 0.500

---

No. 8
This record from Alexandria describes a relaxed structure of CuBiRh2S2. The functional is PBE.

DFT total energy: -5.30 eV per atom
Density of states at the Fermi level: 3.31 states/eV/cell
Formation energy from raw total energies: -85 kJ/mol of formula units

abc: 3.502 3.502 11.268
angles: 81.06 81.06 60.00
Atoms (fractional coordinates):
Rh: 0.264 0.264 0.209
Rh: 0.736 0.736 0.791
S: 0.565 0.565 0.304
S: 0.435 0.435 0.696
Cu: 0.500 0.500 0.500
Bi: 0.000 0.000 0.000

---

No. 9
This record from Alexandria describes a relaxed structure of TeHS2. The functional is PBE.

DFT total energy: -2.88 eV per atom
Density of states at the Fermi level: 2.22 states/eV/cell

abc: 7.315 7.315 7.315
angles: 27.39 27.39 27.39
Atoms (fractional coordinates):
S: 0.117 0.117 0.117
S: 0.883 0.883 0.883
Te: 0.000 0.000 0.000
H: 0.500 0.500 0.500

---

No. 10
This record from Alexandria describes a relaxed structure of CoOs. The functional is PBE.

DFT total energy: -7.88 eV per atom
Density of states at the Fermi level: 46.03 states/eV/cell
Energy of formation: 248 kJ/mol of formula units

abc: 4.297 25.460 4.414
angles: 90.00 90.00 90.00
Site moments in Bohr magnetons follow the coordinates.
Atoms (fractional coordinates):
Co: 0.752 0.500 0.000  1.40
Co: 0.748 0.500 0.500  1.40
Co: 0.998 0.250 0.750  1.40
Co: 0.498 0.750 0.750  1.40
Co: 0.248 0.000 0.500  1.40
Co: 0.252 0.500 0.500  1.40
Co: 0.748 0.000 0.000  1.40
Co: 0.998 0.750 0.250  1.40
Co: 0.002 0.750 0.750  1.40
Co: 0.752 0.000 0.500  1.40
Co: 0.252 0.000 0.000  1.40
Co: 0.498 0.250 0.250  1.40
Co: 0.248 0.500 0.000  1.40
Co: 0.502 0.750 0.250  1.40
Co: 0.002 0.250 0.250  1.40
Co: 0.502 0.250 0.750  1.40
Os: 0.250 0.089 0.750  0.01
Os: 0.500 0.661 0.000  0.01
Os: 0.750 0.589 0.750  0.01
Os: 0.000 0.339 0.500  0.01
Os: 0.000 0.839 0.000  0.01
Os: 0.500 0.339 0.000  0.01
Os: 0.000 0.661 0.500  0.01
Os: 0.250 0.911 0.250  0.01
Os: 0.250 0.411 0.750  0.01
Os: 0.000 0.161 0.000  0.01
Os: 0.250 0.589 0.250  0.01
Os: 0.750 0.411 0.250  0.01
Os: 0.750 0.911 0.750  0.01
Os: 0.750 0.089 0.250  0.01
Os: 0.500 0.161 0.500  0.01
Os: 0.500 0.839 0.500  0.01

---

No. 11
This record from Alexandria describes a relaxed structure of BaSc2Al. The functional is PBE.

DFT total energy: -4.42 eV per atom
Density of states at the Fermi level: 5.37 states/eV/cell
Energy of formation: 62 kJ/mol of formula units

abc: 5.408 5.408 6.914
angles: 82.86 82.86 36.65
Atoms (fractional coordinates):
Sc: 0.013 0.013 0.916
Sc: 0.755 0.755 0.739
Ba: 0.238 0.238 0.264
Al: 0.494 0.494 0.581

---

No. 12
This record from Alexandria describes a relaxed structure of Sm3ScHg4. The functional is PBE.

DFT total energy: -3.16 eV per atom
Density of states at the Fermi level: 9.12 states/eV/cell
Energy of formation: -348 kJ/mol of formula units

abc: 3.686 3.686 15.249
angles: 90.00 90.00 90.00
Site moments in Bohr magnetons follow the coordinates.
Atoms (fractional coordinates):
Hg: 0.000 0.000 0.107  0.01
Hg: 0.000 0.000 0.629  0.01
Hg: 0.000 0.000 0.371  0.01
Hg: 0.000 0.000 0.893  0.01
Sc: 0.500 0.500 0.000  0.11
Sm: 0.500 0.500 0.241  0.18
Sm: 0.500 0.500 0.759  0.18
Sm: 0.500 0.500 0.500  0.15